<A>
Material: ThSc2Os
Method: DFT, PBE
State: optimized geometry

extended XYZ file:
```
4
Lattice="3.289 0.000 0.000 0.000 3.289 0.000 0.000 0.000 8.376" Properties=species:S:1:pos:R:3 pbc="T T T"
Th 0.000 0.000 0.000
Sc 1.645 1.645 2.673
Sc 1.645 1.645 5.703
Os 0.000 0.000 4.188
```

=====

<B>
Material: ThSc2Os
Method: DFT, PBE
State: optimized geometry

extended XYZ file:
```
16
Lattice="7.231 0.000 0.000 0.000 8.773 0.000 0.000 0.000 6.037" Properties=species:S:1:pos:R:3 pbc="T T T"
Th 0.282 2.193 0.804
Th 3.333 6.580 3.823
Th 3.898 2.193 2.214
Th 6.949 6.580 5.233
Sc 1.243 0.572 3.932
Sc 1.243 3.815 3.932
Sc 2.372 4.958 0.914
Sc 2.372 8.201 0.914
Sc 4.859 0.572 5.123
Sc 4.859 3.815 5.123
Sc 5.988 4.958 2.105
Sc 5.988 8.201 2.105
Os 0.922 6.580 2.630
Os 2.693 2.193 5.649
Os 4.538 6.580 0.388
Os 6.309 2.193 3.407
```

=====

<C>
Material: ThSc2Os
Method: DFT, PBE
State: optimized geometry

extended XYZ file:
```
8
Lattice="1.911 -5.679 0.000 1.911 5.679 0.000 0.000 0.000 8.742" Properties=species:S:1:pos:R:3 pbc="T T T"
Th 1.911 4.958 6.557
Th 1.911 -4.958 2.186
Sc 1.911 1.689 4.952
Sc 1.911 1.689 8.162
Sc 1.911 -1.689 0.581
Sc 1.911 -1.689 3.791
Os 1.911 2.840 2.186
Os 1.911 -2.840 6.557
```

=====

Short version: <B> is the most stable of them.